No. 1
{
  "formula": "Tb7Tl2Te2",
  "functional": "PBE",
  "state": "optimized geometry",
  "dft_energy_ev_per_atom": -4.286,
  "e_form_raw_mev_per_atom": -338,
  "lattice": [[5.533, -4.206, 0.000], [5.533, 4.206, 0.000], [-0.008, 0.000, 7.475]],
  "species": ["Tb", "Tb", "Tb", "Tb", "Tb", "Tb", "Tb", "Tl", "Tl", "Te", "Te"],
  "frac_coords": [[0.000, 0.000, 0.000], [0.000, 0.500, 0.279], [0.000, 0.500, 0.721], [0.500, 0.000, 0.279], [0.500, 0.000, 0.721], [0.500, 0.500, 0.264], [0.500, 0.500, 0.736], [0.180, 0.820, 0.500], [0.820, 0.180, 0.500], [0.279, 0.279, 0.000], [0.721, 0.721, 0.000]]
}



No. 2
{
  "formula": "MgSb2O2",
  "functional": "PBE",
  "state": "optimized geometry",
  "dft_energy_ev_per_atom": -4.462,
  "e_form_raw_mev_per_atom": -510,
  "lattice": [[-1.830, 1.830, 6.835], [1.830, -1.830, 6.835], [1.830, 1.830, -6.835]],
  "species": ["Mg", "Sb", "Sb", "O", "O"],
  "frac_coords": [[0.000, 0.000, 0.000], [0.348, 0.348, 0.000], [0.652, 0.652, 0.000], [0.250, 0.750, 0.500], [0.750, 0.250, 0.500]]
}



No. 3
{
  "formula": "U3Tl3Te8Pt",
  "functional": "PBE",
  "state": "optimized geometry",
  "dft_energy_ev_per_atom": -5.261,
  "e_form_raw_mev_per_atom": -451,
  "lattice": [[7.632, -4.175, 0.000], [7.632, 4.175, 0.000], [-5.198, 0.000, 8.372]],
  "species": ["U", "U", "U", "Tl", "Tl", "Tl", "Te", "Te", "Te", "Te", "Te", "Te", "Te", "Te", "Pt"],
  "frac_coords": [[0.000, 0.000, 0.000], [0.000, 0.500, 0.000], [0.500, 0.000, 0.000], [0.000, 0.500, 0.500], [0.500, 0.000, 0.500], [0.500, 0.500, 0.500], [0.202, 0.202, 0.747], [0.238, 0.238, 0.220], [0.271, 0.708, 0.192], [0.292, 0.729, 0.808], [0.708, 0.271, 0.192], [0.729, 0.292, 0.808], [0.762, 0.762, 0.780], [0.798, 0.798, 0.253], [0.500, 0.500, 0.000]]
}



No. 4
{
  "formula": "LiSnBiPt",
  "functional": "PBE",
  "state": "optimized geometry",
  "formation_enthalpy_0k_ev_per_atom": -0.3121,
  "dft_energy_ev_per_atom": -4.272,
  "lattice": [[0.000, 3.467, 3.467], [3.467, 0.000, 3.467], [3.467, 3.467, 0.000]],
  "species": ["Li", "Sn", "Bi", "Pt"],
  "frac_coords": [[0.000, 0.000, 0.000], [0.250, 0.250, 0.250], [0.750, 0.750, 0.750], [0.500, 0.500, 0.500]]
}



No. 5
{
  "formula": "Sr2Sb4Rh5",
  "functional": "PBE",
  "state": "optimized geometry",
  "dft_energy_ev_per_atom": -5.741,
  "e_form_raw_mev_per_atom": -594,
  "lattice": [[0.000, 5.297, 7.906], [2.962, 0.000, 7.906], [2.962, 5.297, 0.000]],
  "species": ["Sr", "Sr", "Sb", "Sb", "Sb", "Sb", "Rh", "Rh", "Rh", "Rh", "Rh"],
  "frac_coords": [[0.127, 0.127, 0.873], [0.873, 0.873, 0.127], [0.210, 0.536, 0.464], [0.464, 0.790, 0.210], [0.536, 0.210, 0.790], [0.790, 0.464, 0.536], [0.000, 0.000, 0.500], [0.250, 0.250, 0.250], [0.500, 0.500, 0.000], [0.500, 0.500, 0.500], [0.750, 0.750, 0.750]]
}



No. 6
{
  "formula": "Al2MoHPt",
  "functional": "PBE",
  "state": "optimized geometry",
  "dft_energy_ev_per_atom": -5.889,
  "lattice": [[4.209, 0.000, 0.000], [0.000, 4.209, 0.000], [0.000, 0.000, 3.499]],
  "species": ["Al", "Al", "Mo", "H", "Pt"],
  "frac_coords": [[0.000, 0.500, 0.000], [0.500, 0.000, 0.000], [0.000, 0.000, 0.500], [0.000, 0.000, 0.000], [0.500, 0.500, 0.500]]
}



No. 7
{
  "formula": "CaSiAg",
  "functional": "PBE",
  "state": "optimized geometry",
  "dft_energy_ev_per_atom": -3.457,
  "e_form_raw_mev_per_atom": -32,
  "lattice": [[0.000, 2.411, 5.514], [2.405, 0.000, 5.514], [2.405, 2.411, 0.000]],
  "species": ["Ca", "Si", "Ag"],
  "frac_coords": [[0.000, 0.000, 0.000], [0.312, 0.312, 0.688], [0.696, 0.696, 0.304]]
}



No. 8
{
  "formula": "TmSc2Ga3",
  "functional": "PBE",
  "state": "optimized geometry",
  "formation_enthalpy_0k_ev_per_atom": -0.5810,
  "dft_energy_ev_per_atom": -4.950,
  "lattice": [[3.405, 0.000, 0.000], [0.000, 3.405, 0.000], [0.000, 0.000, 10.295]],
  "species": ["Tm", "Sc", "Sc", "Ga", "Ga", "Ga"],
  "frac_coords": [[0.000, 0.000, 0.000], [0.000, 0.000, 0.340], [0.000, 0.000, 0.660], [0.500, 0.500, 0.180], [0.500, 0.500, 0.500], [0.500, 0.500, 0.820]]
}



No. 9
{
  "formula": "Cr2OsAu",
  "functional": "PBE",
  "state": "optimized geometry",
  "formation_enthalpy_0k_ev_per_atom": 0.3399,
  "dft_energy_ev_per_atom": -8.099,
  "lattice": [[-1.914, 1.914, 3.864], [1.914, -1.914, 3.864], [1.914, 1.914, -3.864]],
  "species": ["Cr", "Cr", "Os", "Au"],
  "frac_coords": [[0.000, 0.000, 0.000], [0.750, 0.250, 0.500], [0.250, 0.750, 0.500], [0.500, 0.500, 0.000]]
}



No. 10
{
  "formula": "SnSb2As2F18",
  "functional": "PBE",
  "state": "optimized geometry",
  "dft_energy_ev_per_atom": -4.677,
  "e_form_raw_mev_per_atom": -2275,
  "lattice": [[6.127, 0.000, 0.000], [0.000, 12.020, 0.000], [-0.028, 0.000, 11.070]],
  "species": ["Sn", "Sn", "Sb", "Sb", "Sb", "Sb", "As", "As", "As", "As", "F", "F", "F", "F", "F", "F", "F", "F", "F", "F", "F", "F", "F", "F", "F", "F", "F", "F", "F", "F", "F", "F", "F", "F", "F", "F", "F", "F", "F", "F", "F", "F", "F", "F", "F", "F"],
  "frac_coords": [[0.000, 0.138, 0.000], [0.000, 0.862, 0.500], [0.508, 0.390, 0.027], [0.508, 0.610, 0.527], [0.509, 0.022, 0.735], [0.509, 0.978, 0.235], [0.102, 0.258, 0.366], [0.102, 0.742, 0.866], [0.878, 0.350, 0.698], [0.878, 0.650, 0.198], [0.023, 0.126, 0.423], [0.023, 0.874, 0.923], [0.036, 0.455, 0.765], [0.036, 0.545, 0.265], [0.049, 0.216, 0.210], [0.049, 0.784, 0.710], [0.094, 0.298, 0.605], [0.094, 0.702, 0.105], [0.260, 0.074, 0.825], [0.260, 0.926, 0.325], [0.269, 0.286, 0.995], [0.269, 0.714, 0.495], [0.321, 0.019, 0.102], [0.321, 0.981, 0.602], [0.322, 0.485, 0.508], [0.322, 0.515, 0.008], [0.449, 0.379, 0.194], [0.449, 0.621, 0.694], [0.474, 0.124, 0.300], [0.474, 0.876, 0.800], [0.550, 0.166, 0.670], [0.550, 0.834, 0.170], [0.568, 0.388, 0.857], [0.568, 0.612, 0.357], [0.695, 0.058, 0.871], [0.695, 0.257, 0.040], [0.695, 0.743, 0.540], [0.695, 0.942, 0.371], [0.763, 0.027, 0.145], [0.763, 0.479, 0.055], [0.763, 0.521, 0.555], [0.763, 0.973, 0.645], [0.841, 0.317, 0.382], [0.841, 0.683, 0.882], [0.947, 0.250, 0.817], [0.947, 0.750, 0.317]]
}



No. 11
{
  "formula": "La4Cl",
  "functional": "PBE",
  "state": "optimized geometry",
  "dft_energy_ev_per_atom": -4.883,
  "e_form_raw_mev_per_atom": -572,
  "lattice": [[5.615, 0.000, 0.000], [0.000, 5.615, 0.000], [0.000, 0.000, 5.615]],
  "species": ["La", "La", "La", "La", "Cl"],
  "frac_coords": [[0.000, 0.000, 0.000], [0.000, 0.500, 0.500], [0.500, 0.000, 0.500], [0.500, 0.500, 0.000], [0.500, 0.500, 0.500]]
}



No. 12
{
  "formula": "LuCdNi2",
  "functional": "PBE",
  "state": "optimized geometry",
  "formation_enthalpy_0k_ev_per_atom": -0.2320,
  "dft_energy_ev_per_atom": -4.482,
  "lattice": [[3.319, 0.000, 0.000], [0.000, 3.319, 0.000], [0.000, 0.000, 6.051]],
  "species": ["Lu", "Cd", "Ni", "Ni"],
  "frac_coords": [[0.000, 0.000, 0.000], [0.000, 0.000, 0.500], [0.500, 0.500, 0.259], [0.500, 0.500, 0.741]]
}